[1]
InSnIr after structural relaxation, computed with PBE-GGA.

Values from the calculation:
E: -5.08 eV per atom
Theoretical density: 9.8 g/cm3
Formation energy from the elements: 124 meV per atom
Crystal system: trigonal

Cell lengths 5.3945, 3.9387, 3.9387 Å; angles 120.00, 90.00, 90.00 degrees
Fractional coordinates of all 3 atoms:
1 Ir 0.0127 0.0000 0.0000
2 Sn 0.2617 0.3333 0.6667
3 In 0.7256 0.6667 0.3333

***

[2]
HfMnGe2 after structural relaxation, computed with PBE-GGA.

Values from the calculation:
E: -7.56 eV per atom
Theoretical density: 10.1 g/cm3
Formation energy from the elements: -467 meV per atom
Crystal system: orthorhombic

Cell lengths 8.0751, 9.1905, 10.1019 Å; angles 90.00, 90.00, 90.00 degrees
Site moments in Bohr magnetons follow the coordinates.
Fractional coordinates of all 48 atoms:
1 Hf 0.2434 0.8276 0.4518  -0.03
2 Hf 0.2434 0.1724 0.5482  -0.03
3 Hf 0.7566 0.3276 0.0482  -0.03
4 Hf 0.7566 0.6724 0.9518  -0.03
5 Hf 0.7566 0.1724 0.5482  -0.03
6 Hf 0.7566 0.8276 0.4518  -0.03
7 Hf 0.2434 0.6724 0.9518  -0.03
8 Hf 0.2434 0.3276 0.0482  -0.03
9 Hf 0.0000 0.8358 0.1787  -0.12
10 Hf 0.0000 0.1642 0.8213  -0.12
11 Hf 0.0000 0.3358 0.3213  -0.12
12 Hf 0.0000 0.6642 0.6787  -0.12
13 Mn 0.2498 0.5848 0.2509  1.33
14 Mn 0.2498 0.4152 0.7491  1.33
15 Mn 0.7502 0.0848 0.2491  1.33
16 Mn 0.7502 0.9152 0.7509  1.33
17 Mn 0.7502 0.4152 0.7491  1.33
18 Mn 0.7502 0.5848 0.2509  1.33
19 Mn 0.2498 0.9152 0.7509  1.33
20 Mn 0.2498 0.0848 0.2491  1.33
21 Mn 0.2451 0.5000 0.5000  2.02
22 Mn 0.7549 0.0000 0.0000  2.02
23 Mn 0.7549 0.5000 0.5000  2.02
24 Mn 0.2451 0.0000 0.0000  2.02
25 Ge 0.3429 0.8333 0.1814  -0.05
26 Ge 0.3429 0.1667 0.8186  -0.05
27 Ge 0.6571 0.3333 0.3186  -0.05
28 Ge 0.6571 0.6667 0.6814  -0.05
29 Ge 0.6571 0.1667 0.8186  -0.05
30 Ge 0.6571 0.8333 0.1814  -0.05
31 Ge 0.3429 0.6667 0.6814  -0.05
32 Ge 0.3429 0.3333 0.3186  -0.05
33 Ge 0.5000 0.5388 0.1226  -0.03
34 Ge 0.5000 0.4612 0.8774  -0.03
35 Ge 0.5000 0.0388 0.3774  -0.03
36 Ge 0.5000 0.9612 0.6226  -0.03
37 Ge 0.0000 0.5408 0.1205  -0.01
38 Ge 0.0000 0.4592 0.8795  -0.01
39 Ge 0.0000 0.0408 0.3795  -0.01
40 Ge 0.0000 0.9592 0.6205  -0.01
41 Ge 0.5000 0.6253 0.4001  -0.04
42 Ge 0.5000 0.3747 0.5999  -0.04
43 Ge 0.5000 0.1253 0.0999  -0.04
44 Ge 0.5000 0.8747 0.9001  -0.04
45 Ge 0.0000 0.6310 0.3956  -0.04
46 Ge 0.0000 0.3690 0.6044  -0.04
47 Ge 0.0000 0.1310 0.1044  -0.04
48 Ge 0.0000 0.8690 0.8956  -0.04

***

[3]
Mg7Zn2Ag2 after structural relaxation, computed with PBE-GGA.

Values from the calculation:
E: -1.84 eV per atom
Theoretical density: 3.8 g/cm3
Formation energy from the elements: -80 meV per atom
Crystal system: orthorhombic

Cell lengths 3.2361, 8.9837, 8.9837 Å; angles 61.82, 79.62, 79.62 degrees
Fractional coordinates of all 11 atoms:
1 Mg 0.8276 0.0463 0.2986
2 Mg 0.8527 0.4367 0.8579
3 Mg 0.5000 0.0409 0.9591
4 Mg 0.6045 0.4861 0.3048
5 Mg 0.3955 0.6952 0.5139
6 Mg 0.1724 0.7014 0.9537
7 Mg 0.1473 0.1421 0.5633
8 Zn 0.0000 0.7849 0.2151
9 Zn 0.5000 0.3408 0.6592
10 Ag 0.7421 0.8477 0.6682
11 Ag 0.2579 0.3318 0.1523

***

[4]
LiI3N after structural relaxation, computed with PBE-GGA.

Values from the calculation:
E: -2.12 eV per atom
Theoretical density: 3.9 g/cm3
Energy above the most stable polymorph in this dataset: 371 meV per atom
Formation energy (no corrections): 4.28 eV/f.u.
Crystal system: cubic

Cell lengths 5.5711, 5.5711, 5.5711 Å; angles 90.00, 90.00, 90.00 degrees
Site moments in Bohr magnetons follow the coordinates.
Fractional coordinates of all 5 atoms:
1 I 0.0000 0.5000 0.0000  -0.38
2 I 0.0000 0.0000 0.5000  -0.29
3 I 0.5000 0.0000 0.0000  -0.30
4 Li 0.0000 0.0000 0.0000  0.00
5 N 0.5000 0.5000 0.5000  1.89

***

[5]
LiSc2HRu after structural relaxation, computed with PBE-GGA.

Values from the calculation:
E: -5.83 eV per atom
Theoretical density: 4.7 g/cm3
Crystal system: tetragonal

Cell lengths 4.5255, 4.5255, 3.4170 Å; angles 90.00, 90.00, 90.00 degrees
Fractional coordinates of all 5 atoms:
1 Sc 0.0000 0.5000 0.0000
2 Sc 0.5000 0.0000 0.0000
3 Ru 0.5000 0.5000 0.5000
4 H 0.0000 0.0000 0.0000
5 Li 0.0000 0.0000 0.5000

***

[6]
PmHo2TmP4 after structural relaxation, computed with PBE-GGA.

Values from the calculation:
E: -6.59 eV per atom
Theoretical density: 7.0 g/cm3
Formation energy from the elements: -1590 meV per atom
Crystal system: monoclinic

Cell lengths 4.0166, 6.9519, 6.9536 Å; angles 109.47, 90.00, 90.00 degrees
Fractional coordinates of all 8 atoms:
1 Pm 0.5000 0.5000 0.0000
2 Ho 0.5000 0.0000 0.5000
3 Ho 0.0000 0.5000 0.5000
4 Tm 0.0000 0.0000 0.0000
5 P 0.5000 0.2454 0.2512
6 P 0.5000 0.7546 0.7488
7 P 0.0000 0.2433 0.7448
8 P 0.0000 0.7567 0.2552

***

[7]
Cd3W after structural relaxation, computed with PBE-GGA.

Values from the calculation:
E: -3.51 eV per atom
Theoretical density: 10.9 g/cm3
Energy above the most stable polymorph in this dataset: 28 meV per atom
Formation energy from the elements: 412 meV per atom
Crystal system: orthorhombic

Cell lengths 6.2232, 6.2232, 4.1532 Å; angles 90.00, 90.00, 97.77 degrees
Fractional coordinates of all 8 atoms:
1 Cd 0.6151 0.1249 0.7500
2 Cd 0.1304 0.1304 0.7500
3 Cd 0.8751 0.3849 0.2500
4 Cd 0.1249 0.6151 0.7500
5 Cd 0.8696 0.8696 0.2500
6 Cd 0.3849 0.8751 0.2500
7 W 0.4034 0.4034 0.2500
8 W 0.5966 0.5966 0.7500

***

[8]
Mo4IrPt after structural relaxation, computed with PBE-GGA.

Values from the calculation:
E: -9.52 eV per atom
Theoretical density: 13.3 g/cm3
Formation energy from the elements: 188 meV per atom
Crystal system: cubic

Cell lengths 5.1435, 5.1435, 5.1435 Å; angles 60.00, 60.00, 60.00 degrees
Fractional coordinates of all 6 atoms:
1 Mo 0.8737 0.3754 0.3754
2 Mo 0.3754 0.3754 0.8737
3 Mo 0.3754 0.8737 0.3754
4 Mo 0.3754 0.3754 0.3754
5 Ir 0.0000 0.0000 0.0000
6 Pt 0.7500 0.7500 0.7500